1.
The following is a GGA-PBE calculation of a relaxed structure of NpScCu2O6, from Alexandria via LeMat-Bulk.

## Properties
**E_form (uncorrected)**: -21.1 eV per formula unit
**Fermi-level density of states**: 0.597 states/eV per atom
**Space group**: No. 146

a = 5.856 Å, b = 5.856 Å, c = 5.856 Å
α = 54.14°, β = 54.14°, γ = 54.14°
Positions (direct):
Np 0.000 0.000 0.000
Sc 0.500 0.500 0.500
Cu 0.251 0.251 0.251
Cu 0.748 0.748 0.748
O 0.110 0.383 0.757
O 0.244 0.890 0.617
O 0.383 0.757 0.110
O 0.617 0.244 0.890
O 0.757 0.110 0.383
O 0.890 0.617 0.244

---

2.
The following is a GGA-PBE calculation of a relaxed structure of Pm14SmY, from Alexandria via LeMat-Bulk.

## Properties
**Formation enthalpy at 0 K**: 0.014 eV per atom
**Fermi-level density of states**: 1.533 states/eV per atom
**Space group**: No. 38

a = 10.294 Å, b = 7.299 Å, c = 7.299 Å
α = 90.00°, β = 90.00°, γ = 90.00°
Positions (direct):
Pm 0.000 0.000 0.000
Pm 0.000 0.499 0.499
Pm 0.000 0.500 0.999
Pm 0.000 0.999 0.500
Pm 0.251 0.249 0.249
Pm 0.251 0.249 0.750
Pm 0.251 0.750 0.249
Pm 0.251 0.750 0.750
Pm 0.500 0.000 0.499
Pm 0.500 0.499 0.000
Pm 0.749 0.249 0.249
Pm 0.749 0.249 0.750
Pm 0.749 0.750 0.249
Pm 0.749 0.750 0.750
Sm 0.500 0.500 0.500
Y 0.500 0.000 0.000

---

3.
The following is a GGA-PBE calculation of a relaxed structure of Tm2HPbO, from Alexandria via LeMat-Bulk.

## Properties
**Fermi-level density of states**: 0.345 states/eV per atom
**Space group**: No. 119
**Total DFT energy (no corrections)**: -5.82 eV/atom

a = 7.016 Å, b = 7.016 Å, c = 7.016 Å
α = 149.31°, β = 149.31°, γ = 43.96°
Positions (direct):
Tm 0.157 0.157 0.000
Tm 0.843 0.843 0.000
H 0.250 0.750 0.500
Pb 0.500 0.500 0.000
O 0.750 0.250 0.500

---

> Which value of Fermi-level density of states does entry 3 give?

0.345 states/eV per atom

---

> Among the records above, which one has the highest Fermi-level density of states?

Pm14SmY

---

> What is the Fermi-level density of states in the third record?

0.345 states/eV per atom

---

> What is the Fermi-level density of states in the first record?

0.597 states/eV per atom